Tc2PPt: relaxed, PBE-GGA.

Geometry as extended XYZ:
```
4
Lattice="0.0000 3.0867 3.0867 3.0867 0.0000 3.0867 3.0867 3.0867 0.0000" Properties=species:S:1:pos:R:3 pbc="T T T"
Tc 0.0000 0.0000 0.0000
Tc 1.5434 1.5434 1.5434
P 3.0867 3.0867 3.0867
Pt 4.6301 4.6301 4.6301
```

## Properties
- DFT formation energy (eV per atom) = 0.347
- DFT total energy (eV/cell) = -30.8

***

Tc2PPt: relaxed, PBE-GGA.

Geometry as extended XYZ:
```
4
Lattice="2.8908 0.0000 0.0000 0.0000 2.8908 0.0000 0.0000 0.0000 6.8081" Properties=species:S:1:pos:R:3 pbc="T T T"
Tc 0.0000 0.0000 0.0000
Tc 1.4454 1.4454 1.8210
P 0.0000 0.0000 3.1399
Pt 1.4454 1.4454 4.8096
```

## Properties
- DFT formation energy (eV per atom) = -0.115
- DFT total energy (eV/cell) = -32.6

***

TcPPt2: relaxed, PBE-GGA.

Geometry as extended XYZ:
```
4
Lattice="3.1287 0.0000 0.0000 0.0000 3.9311 0.0000 -1.4205 0.0000 4.9044" Properties=species:S:1:pos:R:3 pbc="T T T"
Tc 0.0000 0.0000 0.0000
P -0.7103 0.0000 2.4522
Pt 0.1066 1.9656 3.6036
Pt 1.6015 1.9656 1.3008
```

## Properties
- DFT formation energy (eV per atom) = -0.008
- DFT total energy (eV/cell) = -27.9

***

TcPPt2: relaxed, PBE-GGA.

Geometry as extended XYZ:
```
4
Lattice="-2.0745 2.0745 3.4419 2.0745 -2.0745 3.4419 2.0745 2.0745 -3.4419" Properties=species:S:1:pos:R:3 pbc="T T T"
Tc 0.0000 0.0000 0.0000
P 2.0745 0.0000 1.7209
Pt 0.0000 0.0000 3.4419
Pt 0.0000 2.0745 1.7209
```

## Properties
- DFT formation energy (eV per atom) = 0.098
- DFT total energy (eV/cell) = -27.5

***

Number 1: total moment 0.67 μB/f.u.. Number 2: total moment 0.00 μB/f.u.. Number 3: total moment 0.00 μB/f.u.. Number 4: total moment 0.00 μB/f.u..